The following is a meta-GGA SCAN calculation of NbAlPCl2 at its PBEsol-relaxed geometry, from Alexandria via LeMat-Bulk.

Results
Total magnetic moment   0.00 Bohr magnetons per cell
Formation energy (no corrections)   -0.2036 eV/atom

Cell lengths 4.8451, 4.8451, 4.8818 Å; angles 90.00, 90.00, 90.00 degrees
Last column: nearest neighbours and their distance in Å.
Space group P4/mmm (No. 123)
Inequivalent atoms, fractional coordinates:
1 Nb 0.0000 0.0000 0.0000  4 Cl 2.42, 2 P 2.44
2 Al 0.5000 0.5000 0.5000  4 P 3.43, 8 Cl 3.44
3 P 0.0000 0.0000 0.5000  2 Nb 2.44
4 Cl 0.0000 0.5000 0.0000  2 Nb 2.42

=====

The following is a meta-GGA SCAN calculation of Ti3Sn2O10 at its PBEsol-relaxed geometry, from Alexandria via LeMat-Bulk.

Results
Total magnetic moment   0.00 Bohr magnetons per cell
Formation energy (no corrections)   -2.6844 eV/atom

Cell lengths 6.6022, 6.6042, 15.2978 Å; angles 90.00, 90.00, 90.00 degrees
Last column: nearest neighbours and their distance in Å.
Space group Cmm2 (No. 35)
Inequivalent atoms, fractional coordinates:
1 Ti 0.0000 0.0000 0.0000  6 O 1.92-2.01
2 Ti 0.0000 0.0000 0.1913  6 O 1.95-1.98
3 Ti 0.0000 0.0000 0.3908  6 O 1.95-1.98
4 Ti 0.0000 0.0000 0.5901  6 O 1.95-1.98
5 Ti 0.0000 0.5000 0.0911  6 O 1.92-2.02
6 Ti 0.0000 0.5000 0.6883  6 O 1.95-1.98
7 Sn 0.0000 0.0000 0.7900  6 O 2.04-2.09
8 Sn 0.0000 0.5000 0.2883  6 O 2.05-2.07
9 Sn 0.0000 0.5000 0.4919  6 O 2.06-2.07
10 Sn 0.0000 0.5000 0.8942  6 O 2.04-2.08
11 O 0.0000 0.1869 0.2898  2 Ti 1.95-1.98, 1 Sn 2.07
12 O 0.0000 0.1871 0.4898  2 Ti 1.95-1.97, 1 Sn 2.07
13 O 0.0000 0.1906 0.8977  1 Ti 2.01, 2 Sn 2.04-2.07
14 O 0.0000 0.1942 0.0930  3 Ti 1.92-2.02
15 O 0.0000 0.1997 0.6843  2 Ti 1.95-1.98, 1 Sn 2.09
16 O 0.1906 0.5000 0.7868  1 Ti 1.96, 2 Sn 2.04-2.07
17 O 0.1994 0.5000 0.9994  2 Ti 1.92-1.98, 1 Sn 2.08
18 O 0.2007 0.5000 0.1857  2 Ti 1.96-1.98, 1 Sn 2.05
19 O 0.2007 0.5000 0.5947  2 Ti 1.95-1.98, 1 Sn 2.06
20 O 0.2037 0.5000 0.3901  1 Ti 1.96, 2 Sn 2.06

=====

The following is a meta-GGA SCAN calculation of KZrSb2 at its PBEsol-relaxed geometry, from Alexandria via LeMat-Bulk.

Results
Energy relative to the lowest polymorph listed for this composition   531 meV per atom
Total magnetic moment   0.00 Bohr magnetons per cell
Formation energy (no corrections)   -0.0668 eV/atom

Cell lengths 4.3799, 4.3799, 10.5184 Å; angles 90.00, 90.00, 90.00 degrees
Last column: nearest neighbours and their distance in Å.
Space group I-4m2 (No. 119)
Inequivalent atoms, fractional coordinates:
1 K 0.0000 0.0000 0.0000  8 Sb 3.10-3.42, 4 Zr 3.42
2 Zr 0.0000 0.5000 0.7500  8 Sb 3.10-3.42, 4 K 3.42
3 Sb 0.0000 0.0000 0.5000  4 K 3.10, 4 Zr 3.42, 4 Sb 3.42
4 Sb 0.0000 0.5000 0.2500  4 Zr 3.10, 4 K 3.42, 4 Sb 3.42

=====

The following is a meta-GGA SCAN calculation of Ca2Al3H3O8 at its PBEsol-relaxed geometry, from Alexandria via LeMat-Bulk.

Results
Total magnetic moment   0.00 Bohr magnetons per cell
Uncorrected energy   -1175.70 eV per cell

Cell lengths 12.8578, 8.8069, 12.3253 Å; angles 90.00, 90.00, 90.00 degrees
Last column: nearest neighbours and their distance in Å.
Space group Cmce (No. 64)
Inequivalent atoms, fractional coordinates:
1 Ca 0.0000 0.2166 0.1504  6 O 2.28-2.46
2 Ca 0.1404 0.0000 0.5000  6 O 2.29-2.46
3 Al 0.1223 0.1339 0.8723  4 O 1.75-1.80
4 Al 0.2500 0.1150 0.2500  4 O 1.76-1.78
5 H 0.0000 0.0116 0.3150  1 O 0.98
6 H 0.1727 0.1524 0.0522  1 O 1.01
7 O 0.0000 0.0307 0.6116  1 H 0.98
8 O 0.0000 0.0483 0.8528  2 Al 1.76
9 O 0.1299 0.2212 0.0043  1 H 1.01
10 O 0.1379 0.2238 0.2748  2 Al 1.75-1.76
11 O 0.2208 0.0081 0.1312  1 H 1.72, 2 Al 1.78

=====

The following is a meta-GGA SCAN calculation of CsGaCCl2 at its PBEsol-relaxed geometry, from Alexandria via LeMat-Bulk.

Results
Total magnetic moment   0.00 Bohr magnetons per cell
Formation energy (no corrections)   -0.0653 eV/atom

Cell lengths 5.7268, 5.7268, 3.6211 Å; angles 90.00, 90.00, 90.00 degrees
Last column: nearest neighbours and their distance in Å.
Space group P4/mmm (No. 123)
Inequivalent atoms, fractional coordinates:
1 Cs 0.0000 0.0000 0.0000  8 Cl 3.39, 2 Cs 3.62
2 Ga 0.5000 0.5000 0.0000  2 C 1.81
3 C 0.5000 0.5000 0.5000  2 Ga 1.81
4 Cl 0.0000 0.5000 0.5000  2 C 2.86

=====

The following is a meta-GGA SCAN calculation of Cs3SnRu at its PBEsol-relaxed geometry, from Alexandria via LeMat-Bulk.

Results
Total magnetic moment   3.01 Bohr magnetons per cell
Energy relative to the elements   110 kJ per mole of atoms

Cell lengths 7.0069, 7.0069, 7.0069 Å; angles 90.00, 90.00, 90.00 degrees
Last column: nearest neighbours and their distance in Å.
Space group Pm-3m (No. 221)
Inequivalent atoms, fractional coordinates:
1 Cs 0.0000 0.0000 0.5000  2 Sn 3.50
2 Sn 0.0000 0.0000 0.0000  6 Cs 3.50
3 Ru 0.5000 0.5000 0.5000  12 Cs 4.95

=====

The following is a meta-GGA SCAN calculation of Cd2AgAu at its PBEsol-relaxed geometry, from Alexandria via LeMat-Bulk.

Results
Energy relative to the lowest polymorph listed for this composition   31 meV per atom
Total magnetic moment   0.00 Bohr magnetons per cell
Energy relative to the elements   -14 kJ per mole of atoms

Cell lengths 3.1431, 3.1431, 7.3333 Å; angles 90.00, 90.00, 90.00 degrees
Last column: nearest neighbours and their distance in Å.
Space group P4/mmm (No. 123)
Inequivalent atoms, fractional coordinates:
1 Cd 0.0000 0.0000 0.2491  4 Au 2.88, 4 Ag 2.89, 4 Cd 3.14
2 Ag 0.5000 0.5000 0.5000  8 Cd 2.89, 4 Ag 3.14
3 Au 0.5000 0.5000 0.0000  8 Cd 2.88, 4 Au 3.14

=====

The following is a meta-GGA SCAN calculation of MnAl6 at its PBEsol-relaxed geometry, from Alexandria via LeMat-Bulk.

Results
Total magnetic moment   1.11 Bohr magnetons per cell
Energy relative to the elements   -17 kJ per mole of atoms

Cell lengths 7.4773, 6.4072, 8.7728 Å; angles 90.00, 90.00, 90.00 degrees
Last column: nearest neighbours and their distance in Å.
Space group Cmcm (No. 63)
Inequivalent atoms, fractional coordinates:
1 Mn 0.0000 0.0429 0.2500  10 Al 2.41-2.61
2 Al 0.0000 0.3586 0.1003  1 Mn 2.41, 2 Al 2.53-2.63
3 Al 0.1731 0.0000 0.0000  2 Mn 2.56, 9 Al 2.59-2.86
4 Al 0.1829 0.2860 0.7500  2 Mn 2.51-2.61, 3 Al 2.73-2.80

=====

The following is a meta-GGA SCAN calculation of BaCuNi2C at its PBEsol-relaxed geometry, from Alexandria via LeMat-Bulk.

Results
Total magnetic moment   1.75 Bohr magnetons per cell
Energy relative to the elements   270 kJ per mole of atoms

Cell lengths 4.8088, 4.8088, 4.5371 Å; angles 90.00, 90.00, 90.00 degrees
Last column: nearest neighbours and their distance in Å.
Space group P4/mmm (No. 123)
Inequivalent atoms, fractional coordinates:
1 Ba 0.0000 0.0000 0.0000  2 C 2.27, 4 Ni 2.40
2 Cu 0.5000 0.5000 0.5000  8 Ni 3.31, 4 C 3.40
3 Ni 0.0000 0.5000 0.0000  2 Ba 2.40
4 C 0.0000 0.0000 0.5000  2 Ba 2.27

=====

The following is a meta-GGA SCAN calculation of MnAuI2O at its PBEsol-relaxed geometry, from Alexandria via LeMat-Bulk.

Results
Total magnetic moment   3.84 Bohr magnetons per cell
Formation energy (no corrections)   -0.3164 eV/atom

Cell lengths 5.4469, 5.4469, 3.5910 Å; angles 90.00, 90.00, 90.00 degrees
Last column: nearest neighbours and their distance in Å.
Space group P4/mmm (No. 123)
Inequivalent atoms, fractional coordinates:
1 Mn 0.0000 0.0000 0.0000  2 O 1.80
2 Au 0.5000 0.5000 0.5000  8 I 3.26, 2 Au 3.59
3 I 0.0000 0.5000 0.0000  2 Mn 2.72
4 O 0.0000 0.0000 0.5000  2 Mn 1.80

=====

The following is a meta-GGA SCAN calculation of Fe2CoCu at its PBEsol-relaxed geometry, from Alexandria via LeMat-Bulk.

Results
Energy relative to the lowest polymorph listed for this composition   9 meV per atom
Total magnetic moment   14.40 Bohr magnetons per cell
Energy relative to the elements   2 kJ per mole of atoms

Cell lengths 4.8571, 7.9777, 2.3980 Å; angles 90.00, 109.01, 90.00 degrees
Last column: nearest neighbours and their distance in Å.
Space group C2/m (No. 12)
Inequivalent atoms, fractional coordinates:
1 Fe 0.2500 0.2500 0.0000  4 Fe 2.40-2.43, 2 Co 2.44, 2 Cu 2.44
2 Co 0.0000 0.0000 0.5000  2 Co 2.40, 2 Cu 2.43, 4 Fe 2.44
3 Cu 0.0000 0.5000 0.5000  2 Cu 2.40, 2 Co 2.43, 4 Fe 2.44

=====

The following is a meta-GGA SCAN calculation of KTl2 at its PBEsol-relaxed geometry, from Alexandria via LeMat-Bulk.

Results
Energy relative to the lowest polymorph listed for this composition   12 meV per atom
Total magnetic moment   0.00 Bohr magnetons per cell
Energy relative to the elements   -17 kJ per mole of atoms

Cell lengths 13.9778, 3.6753, 7.6613 Å; angles 90.00, 105.81, 90.00 degrees
Last column: nearest neighbours and their distance in Å.
Space group C2/m (No. 12)
Inequivalent atoms, fractional coordinates:
1 K 0.0069 0.0000 0.2581  8 Tl 3.55-3.64, 4 K 3.68-3.91
2 Tl 0.1745 0.5000 0.0744  4 Tl 3.23-3.26, 4 K 3.55-3.57
3 Tl 0.1855 0.5000 0.6051  5 Tl 3.26-3.64, 4 K 3.61-3.64

=====

The following is a meta-GGA SCAN calculation of LiNi2Ru at its PBEsol-relaxed geometry, from Alexandria via LeMat-Bulk.

Results
Energy relative to the lowest polymorph listed for this composition   0 meV per atom
Total magnetic moment   2.45 Bohr magnetons per cell
Energy relative to the elements   4 kJ per mole of atoms

Cell lengths 5.0217, 7.2606, 2.4806 Å; angles 90.00, 90.00, 90.00 degrees
Last column: nearest neighbours and their distance in Å.
Space group Cmmm (No. 65)
Inequivalent atoms, fractional coordinates:
1 Li 0.0000 0.0000 0.0000  2 Li 2.48, 2 Ru 2.51, 8 Ni 2.53
2 Ni 0.2500 0.2500 0.5000  4 Ni 2.48-2.51, 4 Li 2.53, 4 Ru 2.53
3 Ru 0.0000 0.5000 0.0000  2 Ru 2.48, 2 Li 2.51, 8 Ni 2.53

=====

The following is a meta-GGA SCAN calculation of Na2CaTi2Ge3O12 at its PBEsol-relaxed geometry, from Alexandria via LeMat-Bulk.

Results
Total magnetic moment   0.00 Bohr magnetons per cell
Formation energy (no corrections)   -2.5368 eV/atom

Cell lengths 12.2224, 12.2224, 12.3355 Å; angles 90.00, 90.00, 90.00 degrees
Last column: nearest neighbours and their distance in Å.
Space group I4_1/acd (No. 142, origin choice 2)
Inequivalent atoms, fractional coordinates:
1 Na 0.1273 0.0000 0.2500  8 O 2.40-2.56
2 Ca 0.0000 0.2500 0.1250  8 O 2.38-2.50
3 Ti 0.0000 0.0000 0.0000  6 O 1.94-1.97
4 Ge 0.0000 0.2500 0.3750  4 O 1.76
5 Ge 0.1239 0.0000 0.7500  4 O 1.76-1.78
6 O 0.0341 0.0499 0.6482  1 Ge 1.78, 1 Ti 1.97
7 O 0.0477 0.1501 0.9667  1 Ge 1.76, 1 Ti 1.97
8 O 0.1470 0.0374 0.4530  1 Ge 1.76, 1 Ti 1.94

=====

The following is a meta-GGA SCAN calculation of CsVZnF6 at its PBEsol-relaxed geometry, from Alexandria via LeMat-Bulk.

Results
Total magnetic moment   8.00 Bohr magnetons per cell
Formation energy (no corrections)   -3.0132 eV/atom

Cell lengths 7.2881, 7.3720, 10.4281 Å; angles 90.00, 90.00, 90.00 degrees
Last column: nearest neighbours and their distance in Å.
Space group Imma (No. 74)
Inequivalent atoms, fractional coordinates:
1 Cs 0.0000 0.2500 0.1178  6 F 3.06-3.37
2 V 0.0000 0.0000 0.5000  6 F 1.92-1.94
3 Zn 0.2500 0.2500 0.7500  6 F 1.98-2.05
4 F 0.0000 0.2500 0.4413  2 V 1.94
5 F 0.0000 0.2500 0.8242  2 Zn 1.98
6 F 0.1902 0.0454 0.6232  1 V 1.92, 1 Zn 2.05

=====

The following is a meta-GGA SCAN calculation of P3RhO at its PBEsol-relaxed geometry, from Alexandria via LeMat-Bulk.

Results
Total magnetic moment   0.00 Bohr magnetons per cell
Formation energy (no corrections)   0.5146 eV/atom

Cell lengths 4.0170, 4.0170, 4.0170 Å; angles 90.00, 90.00, 90.00 degrees
Last column: nearest neighbours and their distance in Å.
Space group Pm-3m (No. 221)
Inequivalent atoms, fractional coordinates:
1 P 0.0000 0.0000 0.5000  2 O 2.01
2 Rh 0.5000 0.5000 0.5000  12 P 2.84
3 O 0.0000 0.0000 0.0000  6 P 2.01

=====

The following is a meta-GGA SCAN calculation of LuAl7Au3 at its PBEsol-relaxed geometry, from Alexandria via LeMat-Bulk.

Results
Total magnetic moment   0.00 Bohr magnetons per cell
Energy relative to the elements   -67 kJ per mole of atoms

Cell lengths 8.0687, 8.0687, 21.1034 Å; angles 90.00, 90.00, 120.00 degrees
Last column: nearest neighbours and their distance in Å.
Space group R-3c (No. 167, hexagonal axes)
Inequivalent atoms, fractional coordinates:
1 Lu 0.0000 0.0000 0.0000  6 Au 3.24, 12 Al 3.32-3.36
2 Al 0.0000 0.0000 0.2500  3 Au 2.63, 6 Al 2.89
3 Al 0.0103 0.2067 0.1369  3 Au 2.59-2.66, 5 Al 2.82-2.89
4 Au 0.0000 0.3255 0.2500  7 Al 2.59-2.66

=====

The following is a meta-GGA SCAN calculation of MgSbRh at its PBEsol-relaxed geometry, from Alexandria via LeMat-Bulk.

Results
Total magnetic moment   0.00 Bohr magnetons per cell
Formation energy (no corrections)   -0.3044 eV/atom

Cell lengths 3.2645, 3.2645, 6.3702 Å; angles 90.00, 90.00, 120.00 degrees
Last column: nearest neighbours and their distance in Å.
Space group P3m1 (No. 156)
Inequivalent atoms, fractional coordinates:
1 Mg 0.0000 0.0000 0.0000  3 Rh 2.71
2 Sb 0.6667 0.3333 0.4135  3 Rh 2.60
3 Rh 0.3333 0.6667 0.6936  3 Sb 2.60, 3 Mg 2.71